Record 1
Computed, not measured: Ag4IBr7 after structural relaxation at the PBE-GGA level of DFT.

The structure in POSCAR format:
```
Ag4IBr7
1.0
9.6416 -5.7740 0.0000
9.6416 5.7740 0.0000
0.0000 0.0000 7.9179
Ag I Br
8 2 14
Cartesian
7.8526 3.9531 5.9385 Ag
11.4306 3.9531 5.9385 Ag
5.6322 0.0000 0.0000 Ag
5.6322 0.0000 3.9590 Ag
13.6510 0.0000 0.0000 Ag
13.6510 0.0000 3.9590 Ag
7.8526 -3.9531 1.9795 Ag
11.4306 -3.9531 1.9795 Ag
9.6416 1.9303 1.9795 I
9.6416 -1.9303 5.9385 I
9.6416 5.7437 1.9795 Br
4.4507 1.2720 1.9795 Br
7.7120 2.0006 3.9685 Br
7.7120 2.0006 7.9084 Br
4.4507 -1.2720 5.9385 Br
11.5713 2.0006 3.9685 Br
11.5713 2.0006 7.9084 Br
7.7120 -2.0006 0.0095 Br
7.7120 -2.0006 3.9495 Br
14.8325 1.2720 1.9795 Br
11.5713 -2.0006 0.0095 Br
11.5713 -2.0006 3.9495 Br
14.8325 -1.2720 5.9385 Br
9.6416 -5.7437 5.9385 Br
```

Output
VASP energy: -2.24 eV/atom
total moment: 0.00 μB/cell
formation energy from raw total energies: -0.187 eV/atom
volume: 36.73 A^3/atom

Record 2
Computed, not measured: LaSc2BPb after structural relaxation at the PBE-GGA level of DFT.

The structure in POSCAR format:
```
LaSc2BPb
1.0
4.8327 0.0000 0.0000
0.0000 4.8327 0.0000
0.0000 0.0000 5.1581
La Sc B Pb
1 2 1 1
Cartesian
0.0000 0.0000 0.0000 La
0.0000 2.4164 2.5790 Sc
2.4164 0.0000 2.5790 Sc
0.0000 0.0000 2.5790 B
2.4164 2.4164 0.0000 Pb
```

Output
VASP energy: -5.96 eV/atom
formation energy: -1.8 eV/f.u.
total moment: 0.00 μB/cell
volume: 24.09 A^3/atom

Record 3
Computed, not measured: Li7YAu4 after structural relaxation at the PBE-GGA level of DFT.

The structure in POSCAR format:
```
Li7YAu4
1.0
6.6637 -2.3751 0.0000
6.6637 2.3751 0.0000
-5.2129 0.0000 6.7596
Li Y Au
7 1 4
Cartesian
0.0000 0.0000 0.0000 Li
-0.8278 0.0000 4.2754 Li
3.1093 0.0000 0.8493 Li
2.8056 0.0000 3.9425 Li
5.3090 0.0000 2.8171 Li
5.0053 0.0000 5.9103 Li
8.9423 0.0000 2.4841 Li
6.6637 0.0000 0.0000 Y
-3.2467 0.0000 5.2385 Au
0.8049 0.0000 2.2948 Au
7.3097 0.0000 4.4647 Au
11.3612 0.0000 1.5211 Au
```

Output
VASP energy: -3.02 eV/atom
formation energy: -3.3 eV/f.u.
total moment: 0.00 μB/cell
volume: 17.83 A^3/atom